Entry from Alexandria via LeMat-Bulk: an optimized crystal structure of La2SmIr9 (PBE).

a = 5.3778 Å, b = 5.3778 Å, c = 26.7887 Å
α = 90.00°, β = 90.00°, γ = 120.00°
With the nearest neighbours (Å) after each atom.
Space group R-3m (No. 166, hexagonal axes)
One atom of each set of equivalent atoms:
1 La 0.0000 0.0000 0.1395 x6  12 Ir 3.13-3.43, 3 La 3.43
2 Sm 0.0000 0.0000 0.0000 x3  18 Ir 3.11-3.44
3 Ir 0.0000 0.0000 0.3319 x6  6 Ir 2.62-2.67
4 Ir 0.0000 0.0000 0.5000 x3  6 Ir 2.79
5 Ir 0.0039 0.5019 0.0799 x18  7 Ir 2.62-2.79

VASP energy ... -8.38 eV per atom
Formation energy ... -0.524 eV/atom